Entry 1:
LaPr4Dy2Tm: optimized geometry, PBE.

Geometry as POSCAR:
```
LaPr4Dy2Tm
1.0
6.2996 0.0000 0.0000
0.0000 3.6692 0.0000
-2.1255 0.0000 11.8500
La Pr Dy Tm
1 4 2 1
direct
0.0000 0.0000 0.0000 La
0.2503 0.0000 0.7494 Pr
0.2522 0.5000 0.2541 Pr
0.7478 0.5000 0.7459 Pr
0.7497 0.0000 0.2506 Pr
0.0000 0.5000 0.5000 Dy
0.5000 0.0000 0.5000 Dy
0.5000 0.5000 0.0000 Tm
```

## Properties
**Crystal system**: monoclinic
**E_form**: 0.0173 eV per atom
**D(E_F)**: 11.222 states/eV/f.u.
**DFT total energy**: -4.698 eV per atom
**Theoretical density**: 7.3 Mg/m³



Entry 2:
Ga2BiAu: optimized geometry, PBE.

Geometry as POSCAR:
```
Ga2BiAu
1.0
1.9677 1.1360 7.0719
-1.9677 1.1360 7.0719
0.0000 -2.2721 7.0719
Ga Bi Au
2 1 1
direct
0.0000 0.0000 0.0000 Ga
0.2011 0.2011 0.2011 Ga
0.7612 0.7612 0.7612 Bi
0.6007 0.6007 0.6007 Au
```

## Properties
**Crystal system**: trigonal
**E_form**: -0.0218 eV per atom
**D(E_F)**: 1.710 states/eV/f.u.
**DFT total energy**: -3.325 eV per atom
**Theoretical density**: 9.5 Mg/m³



Entry 3:
Tb2Dy2Mg: optimized geometry, PBE.

Geometry as POSCAR:
```
Tb2Dy2Mg
1.0
-2.5420 2.5420 12.7202
2.5420 -2.5420 12.7202
2.5420 2.5420 -12.7202
Tb Dy Mg
4 4 2
direct
0.0501 0.3001 0.7500 Tb
0.3001 0.0501 0.2500 Tb
0.6999 0.9499 0.7500 Tb
0.9499 0.6999 0.2500 Tb
0.2049 0.4549 0.7500 Dy
0.4549 0.2049 0.2500 Dy
0.5451 0.7951 0.7500 Dy
0.7951 0.5451 0.2500 Dy
0.3750 0.6250 0.7500 Mg
0.6250 0.3750 0.2500 Mg
```

## Properties
**Crystal system**: tetragonal
**E_form**: 0.2027 eV per atom
**D(E_F)**: 8.487 states/eV/f.u.
**Polymorph energy (0 for the lowest one)**: 221 meV/atom
**DFT total energy**: -3.809 eV per atom
**Theoretical density**: 6.7 Mg/m³



Entry 4:
Cs4Rb5Au3: optimized geometry, PBE.

Geometry as POSCAR:
```
Cs4Rb5Au3
1.0
12.1556 -3.5741 0.0000
12.1556 3.5741 0.0000
-2.6301 0.0000 9.8196
Cs Rb Au
4 5 3
direct
0.1857 0.1857 0.0545 Cs
0.1983 0.1983 0.5597 Cs
0.8017 0.8017 0.4403 Cs
0.8143 0.8143 0.9455 Cs
0.0000 0.0000 0.5000 Rb
0.3859 0.3859 0.2227 Rb
0.4243 0.4243 0.7523 Rb
0.5757 0.5757 0.2477 Rb
0.6141 0.6141 0.7773 Rb
0.3025 0.3025 0.8785 Au
0.5000 0.5000 0.5000 Au
0.6975 0.6975 0.1215 Au
```

## Properties
**Crystal system**: monoclinic
**E_form**: -0.1279 eV per atom
**D(E_F)**: 8.506 states/eV/f.u.
**DFT total energy**: -1.635 eV per atom
**Theoretical density**: 3.0 Mg/m³



Entry 5:
Be2BI: optimized geometry, PBE.

Geometry as POSCAR:
```
Be2BI
1.0
-2.2584 2.2584 6.0074
2.2584 -2.2584 6.0074
2.2584 2.2584 -6.0074
Be B I
4 2 2
direct
0.3750 0.2125 0.3375 Be
0.7875 0.1250 0.1625 Be
0.8750 0.0375 0.6625 Be
0.9625 0.6250 0.8375 Be
0.0000 0.0000 0.0000 B
0.7500 0.2500 0.5000 B
0.2500 0.7500 0.5000 I
0.5000 0.5000 0.0000 I
```

## Properties
**Crystal system**: tetragonal
**Formation energy without anion corrections**: 0.66 eV per atom
**D(E_F)**: 1.374 states/eV/f.u.
**Polymorph energy (0 for the lowest one)**: 0 meV/atom
**DFT total energy**: -3.256 eV per atom
**Theoretical density**: 4.2 Mg/m³



Entry 6:
Ba4CaRe: optimized geometry, PBE.

Geometry as POSCAR:
```
Ba4CaRe
1.0
0.0000 5.1411 5.1411
5.1411 0.0000 5.1411
5.1411 5.1411 0.0000
Ba Ca Re
4 1 1
direct
0.3767 0.3767 0.3767 Ba
0.3767 0.3767 0.8699 Ba
0.3767 0.8699 0.3767 Ba
0.8699 0.3767 0.3767 Ba
0.0000 0.0000 0.0000 Ca
0.7500 0.7500 0.7500 Re
```

## Properties
**Crystal system**: cubic
**E_form**: 1.2012 eV per atom
**D(E_F)**: 9.686 states/eV/f.u.
**DFT total energy**: -2.489 eV per atom
**Theoretical density**: 4.7 Mg/m³



Entry 7:
SrAcAs2O8: optimized geometry, PBE.

Geometry as POSCAR:
```
SrAcAs2O8
1.0
-2.6685 2.6685 6.1768
2.6685 -2.6685 6.1768
2.6685 2.6685 -6.1768
Sr Ac As O
1 1 2 8
direct
0.0000 0.0000 0.0000 Sr
0.7500 0.2500 0.5000 Ac
0.2500 0.7500 0.5000 As
0.5000 0.5000 0.0000 As
0.0558 0.9222 0.6262 O
0.0778 0.7040 0.1336 O
0.1805 0.3042 0.6365 O
0.2960 0.4296 0.3738 O
0.4561 0.8195 0.1237 O
0.5704 0.9442 0.8664 O
0.6677 0.5439 0.3635 O
0.6958 0.3323 0.8763 O
```

## Properties
**Crystal system**: tetragonal
**Formation energy without anion corrections**: -2.06 eV per atom
**D(E_F)**: 7.477 states/eV/f.u.
**DFT total energy**: -6.620 eV per atom
**Theoretical density**: 5.6 Mg/m³



Entry 8:
NbInSe2Br: optimized geometry, PBE.

Geometry as POSCAR:
```
NbInSe2Br
1.0
5.2779 0.0000 0.0000
0.0000 5.2779 0.0000
0.0000 0.0000 5.1956
Nb In Se Br
1 1 2 1
direct
0.0000 0.0000 0.0000 Nb
0.5000 0.5000 0.5000 In
0.0000 0.5000 0.5000 Se
0.5000 0.0000 0.5000 Se
0.5000 0.5000 0.0000 Br
```

## Properties
**Crystal system**: tetragonal
**Formation energy without anion corrections**: 0.62 eV per atom
**D(E_F)**: 5.534 states/eV/f.u.
**Polymorph energy (0 for the lowest one)**: 1035 meV/atom
**DFT total energy**: -3.672 eV per atom
**Theoretical density**: 5.1 Mg/m³



Entry 9:
ZrBiCl3: optimized geometry, PBE.

Geometry as POSCAR:
```
ZrBiCl3
1.0
5.1700 0.0000 0.0000
0.0000 5.1700 0.0000
0.0000 0.0000 5.1700
Zr Bi Cl
1 1 3
direct
0.0000 0.0000 0.0000 Zr
0.5000 0.5000 0.5000 Bi
0.0000 0.0000 0.5000 Cl
0.0000 0.5000 0.0000 Cl
0.5000 0.0000 0.0000 Cl
```

## Properties
**Crystal system**: cubic
**Formation energy without anion corrections**: -0.66 eV per atom
**D(E_F)**: 2.492 states/eV/f.u.
**Polymorph energy (0 for the lowest one)**: 0 meV/atom
**DFT total energy**: -4.249 eV per atom
**Theoretical density**: 4.9 Mg/m³



Entry 10:
Mg3BiO: optimized geometry, PBE.

Geometry as POSCAR:
```
Mg3BiO
1.0
4.5230 0.0000 0.0000
0.0000 4.5230 0.0000
0.0000 0.0000 4.5230
Mg Bi O
3 1 1
direct
0.0000 0.0000 0.5000 Mg
0.0000 0.5000 0.0000 Mg
0.5000 0.0000 0.0000 Mg
0.5000 0.5000 0.5000 Bi
0.0000 0.0000 0.0000 O
```

## Properties
**Crystal system**: cubic
**Formation energy without anion corrections**: -0.95 eV per atom
**D(E_F)**: 1.448 states/eV/f.u.
**Polymorph energy (0 for the lowest one)**: 0 meV/atom
**DFT total energy**: -3.675 eV per atom
**Theoretical density**: 5.3 Mg/m³



Entry 11:
Pr3TePbCl: optimized geometry, PBE.

Geometry as POSCAR:
```
Pr3TePbCl
1.0
8.9409 0.0000 0.0000
0.0000 4.6015 0.0000
-1.5869 0.0000 9.6752
Pr Te Pb Cl
6 2 2 2
direct
0.0917 0.2500 0.3378 Pr
0.2452 0.2500 0.9894 Pr
0.3988 0.7500 0.6295 Pr
0.6012 0.2500 0.3705 Pr
0.7548 0.7500 0.0106 Pr
0.9083 0.7500 0.6622 Pr
0.3331 0.7500 0.2838 Te
0.6669 0.2500 0.7162 Te
0.1567 0.2500 0.6641 Pb
0.8433 0.7500 0.3359 Pb
0.4074 0.7500 0.9221 Cl
0.5926 0.2500 0.0779 Cl
```

## Properties
**Crystal system**: monoclinic
**Formation energy without anion corrections**: -1.05 eV per atom
**D(E_F)**: 3.651 states/eV/f.u.
**DFT total energy**: -4.884 eV per atom
**Theoretical density**: 6.6 Mg/m³



Entry 12:
YZrIn2: optimized geometry, PBE.

Geometry as POSCAR:
```
YZrIn2
1.0
3.2894 0.0000 0.0000
0.0000 3.2894 0.0000
0.0000 0.0000 8.9173
Y Zr In
1 1 2
direct
0.0000 0.0000 0.0000 Y
0.0000 0.0000 0.5000 Zr
0.5000 0.5000 0.2617 In
0.5000 0.5000 0.7383 In
```

## Properties
**Crystal system**: tetragonal
**E_form**: -0.3721 eV per atom
**D(E_F)**: 3.674 states/eV/f.u.
**DFT total energy**: -5.494 eV per atom
**Theoretical density**: 7.1 Mg/m³



Copy entry 3 word for word.
Tb2Dy2Mg: optimized geometry, PBE.

Geometry as POSCAR:
```
Tb2Dy2Mg
1.0
-2.5420 2.5420 12.7202
2.5420 -2.5420 12.7202
2.5420 2.5420 -12.7202
Tb Dy Mg
4 4 2
direct
0.0501 0.3001 0.7500 Tb
0.3001 0.0501 0.2500 Tb
0.6999 0.9499 0.7500 Tb
0.9499 0.6999 0.2500 Tb
0.2049 0.4549 0.7500 Dy
0.4549 0.2049 0.2500 Dy
0.5451 0.7951 0.7500 Dy
0.7951 0.5451 0.2500 Dy
0.3750 0.6250 0.7500 Mg
0.6250 0.3750 0.2500 Mg
```

## Properties
**Crystal system**: tetragonal
**E_form**: 0.2027 eV per atom
**D(E_F)**: 8.487 states/eV/f.u.
**Polymorph energy (0 for the lowest one)**: 221 meV/atom
**DFT total energy**: -3.809 eV per atom
**Theoretical density**: 6.7 Mg/m³